PBE SrAc3Se4, optimized geometry; uncorrected formation energy = -15.19 eV per formula unit
1.0
6.303 -4.490 0.000
6.303 4.490 0.000
-0.006 0.000 4.431
Sr Ac Se
1 3 4
Direct
0.000 0.000 0.000
0.000 0.500 0.500
0.500 0.000 0.500
0.500 0.500 0.000
0.246 0.754 0.500
0.247 0.247 0.000
0.753 0.753 0.000
0.754 0.246 0.500

PBE Sr3AcSe4, optimized geometry; uncorrected formation energy = -15.99 eV per formula unit
1.0
4.453 -6.292 0.000
4.453 6.292 0.000
0.000 0.000 4.445
Sr Ac Se
3 1 4
Direct
0.000 0.000 0.000
0.000 0.500 0.500
0.500 0.000 0.500
0.500 0.500 0.000
0.249 0.249 0.500
0.250 0.750 0.000
0.750 0.250 0.000
0.751 0.751 0.500

PBE Sr4AcSe5, optimized geometry; uncorrected formation energy = -20.21 eV per formula unit
1.0
-2.224 2.224 15.765
2.224 -2.224 15.765
2.224 2.224 -15.765
Sr Ac Se
4 1 5
Direct
0.101 0.101 0.000
0.300 0.300 0.000
0.700 0.700 0.000
0.899 0.899 0.000
0.500 0.500 0.000
0.000 0.000 0.000
0.200 0.200 0.000
0.400 0.400 0.000
0.600 0.600 0.000
0.800 0.800 0.000